LiNdEuTm | GGA-PBE | relaxed

Unit cell a=5.6531 b=5.6531 c=5.6531 alpha=60.00 beta=60.00 gamma=60.00
Each line ends with the local moment (μB).
Positions (direct):
Tm: 0.5000 0.5000 0.5000  0.05
Li: 0.0000 0.0000 0.0000  0.00
Nd: 0.2500 0.2500 0.2500  -0.02
Eu: 0.7500 0.7500 0.7500  6.84

Summary:
V   127.75 Å³/cell
E_form   190 meV/atom

LiNdEuZn | GGA-PBE | relaxed

Unit cell a=5.3399 b=5.3399 c=5.3399 alpha=60.00 beta=60.00 gamma=60.00
Each line ends with the local moment (μB).
Positions (direct):
Zn: 0.5000 0.5000 0.5000  0.01
Nd: 0.2500 0.2500 0.2500  0.08
Eu: 0.7500 0.7500 0.7500  6.88
Li: 0.0000 0.0000 0.0000  0.02

Summary:
V   107.66 Å³/cell
E_form   -78 meV/atom

LiEu2Ni | GGA-PBE | relaxed

Unit cell a=3.5679 b=3.5679 c=8.2882 alpha=90.00 beta=90.00 gamma=90.00
Each line ends with the local moment (μB).
Positions (direct):
Li: 0.5000 0.5000 0.5000  0.03
Eu: 0.0000 0.0000 0.2037  6.92
Eu: 0.0000 0.0000 0.7963  6.92
Ni: 0.5000 0.5000 0.0000  -0.18

Summary:
V   105.51 Å³/cell
E_form   -12 meV/atom

LiEuNi4 | GGA-PBE | relaxed

Unit cell a=4.9556 b=4.9556 c=4.9556 alpha=60.00 beta=60.00 gamma=60.00
Each line ends with the local moment (μB).
Positions (direct):
Ni: 0.6258 0.1225 0.6258  -0.21
Ni: 0.6258 0.6258 0.1225  -0.21
Ni: 0.1225 0.6258 0.6258  -0.21
Ni: 0.6258 0.6258 0.6258  -0.21
Li: 0.0000 0.0000 0.0000  0.03
Eu: 0.2500 0.2500 0.2500  6.71

Summary:
V   86.06 Å³/cell
E_form   -135 meV/atom